Entry from Alexandria via LeMat-Bulk: crystalline MgCo2Os at its relaxed geometry (PBE).

a b c (Å): 2.6977 2.6977 7.1910
angles (deg): 90.00 90.00 90.00
Fractional positions:
Mg (0.0000, 0.0000, 0.0000)
Co (0.5000, 0.5000, 0.2697)
Co (0.5000, 0.5000, 0.7303)
Os (0.0000, 0.0000, 0.5000)

Results
DFT formation energy = 0.10 eV per atom
V = 52.3 Å³ per cell
total energy = -6.654 eV per atom


Entry from Alexandria via LeMat-Bulk: crystalline MgCoOs2 at its relaxed geometry (PBE).

a b c (Å): 5.5020 5.5020 5.5020
angles (deg): 151.51 133.41 55.52
Fractional positions:
Mg (0.0000, 0.0000, 0.0000)
Co (0.5000, 0.5000, 0.0000)
Os (0.2865, 0.7865, 0.5000)
Os (0.7135, 0.2135, 0.5000)

Results
DFT formation energy = 0.17 eV per atom
V = 57.4 Å³ per cell
total energy = -7.621 eV per atom


Q: Look up the total energy of the second one.
A: -7.621 eV per atom